The following is a DFT calculation (PBE) of crystalline Pm7Nd12In at its relaxed geometry.

For the spin magnetization, the calculation gives 0.0 μB per cell. The value obtained for the energy relative to the elements is 303.5 kJ/mol of formula units.

Structure (CIF):
```
data_Pm7Nd12In
_chemical_formula_sum 'Pm21 Nd36 In3'
_symmetry_space_group_name_H-M 'R -3'
_symmetry_Int_Tables_number 148
_symmetry_space_group_name_Hall '-R 3'
_cell_length_a 12.5475
_cell_length_b 12.5475
_cell_length_c 15.7244
_cell_angle_alpha 90.00
_cell_angle_beta 90.00
_cell_angle_gamma 120.00
loop_
_atom_site_label
_atom_site_fract_x
_atom_site_fract_y
_atom_site_fract_z
Pm1 0.0000 0.0000 0.0000
Pm2 0.0138 0.5769 0.6991
Nd1 0.0326 0.8462 0.8095
Nd2 0.0717 0.2596 0.4243
In1 0.0000 0.0000 0.5000
```